1.
VASP calculation (PBE) on crystalline Be4Ag5 at its relaxed geometry.

- SG = I4/mmm
- formation enthalpy at 0 K (eV per atom) = 0.277
- volume (A^3/atom) = 14.1
- M_tot (μB/cell) = 0.000

Cell lengths 5.9675, 5.9675, 5.9675 Å; angles 96.56, 96.56, 140.50 degrees
Fractional positions:
Be  0.3643  0.0000  0.3643
Be  0.0000  0.6357  0.6357
Be  0.6357  0.0000  0.6357
Be  0.0000  0.3643  0.3643
Ag  0.6742  0.6742  0.3484
Ag  0.6742  0.3258  0.0000
Ag  0.0000  0.0000  0.0000
Ag  0.3258  0.3258  0.6516
Ag  0.3258  0.6742  0.0000

=====

2.
VASP calculation (PBE) on crystalline BeAg2 at its relaxed geometry.

- SG = P6/mmm
- formation enthalpy at 0 K (eV per atom) = 0.460
- volume (A^3/atom) = 16.0
- M_tot (μB/cell) = 0.000

Cell lengths 4.5575, 4.5575, 2.6764 Å; angles 90.00, 90.00, 120.00 degrees
Fractional positions:
Ag  0.3333  0.6667  0.5000
Ag  0.6667  0.3333  0.5000
Be  0.0000  0.0000  0.0000

=====

3.
VASP calculation (PBE) on crystalline Be2Ag at its relaxed geometry.

- SG = Imma
- formation enthalpy at 0 K (eV per atom) = 0.339
- volume (A^3/atom) = 12.4
- M_tot (μB/cell) = 0.000

Cell lengths 7.7629, 7.7629, 7.7629 Å; angles 160.17, 152.01, 34.54 degrees
Fractional positions:
Be  0.7906  0.0406  0.7500
Be  0.2094  0.9594  0.2500
Be  0.9416  0.1916  0.7500
Be  0.0584  0.8084  0.2500
Ag  0.3584  0.6084  0.7500
Ag  0.6416  0.3916  0.2500